Record 1
A plane-wave DFT calculation with PBE was carried out for a geometry-optimized FePBr2 structure.

The structure in CIF format:
```
data_FePBr2
_space_group_name_H-M_alt 'P 1'
_space_group_IT_number 1
_cell_length_a 4.8743
_cell_length_b 4.8743
_cell_length_c 3.2923
_cell_angle_alpha 90.00
_cell_angle_beta 90.00
_cell_angle_gamma 90.00
loop_
_space_group_symop_operation_xyz
'x,y,z'
loop_
_atom_site_label
_atom_site_fract_x
_atom_site_fract_y
_atom_site_fract_z
Fe1 0.0000 0.0000 0.0000
P1 0.5000 0.5000 0.0000
Br1 0.0000 0.5000 0.5000
Br2 0.5000 0.0000 0.5000
```

Computed properties:
* crystal system: tetragonal
* magnetization: 3.41 μB/cell
* relative energy among the computed polymorphs: 922 meV/atom
* SG: No. 123



Record 2
A plane-wave DFT calculation with PBE was carried out for a geometry-optimized Zr4Hg2O structure.

The structure in CIF format:
```
data_Zr4Hg2O
_space_group_name_H-M_alt 'P 1'
_space_group_IT_number 1
_cell_length_a 8.1606
_cell_length_b 8.1606
_cell_length_c 8.1606
_cell_angle_alpha 149.04
_cell_angle_beta 149.04
_cell_angle_gamma 44.36
loop_
_space_group_symop_operation_xyz
'x,y,z'
loop_
_atom_site_label
_atom_site_fract_x
_atom_site_fract_y
_atom_site_fract_z
Zr1 0.0000 0.5000 0.5000
Zr2 0.1672 0.1672 0.0000
Zr3 0.5000 0.0000 0.5000
Zr4 0.8328 0.8328 0.0000
Hg1 0.3589 0.3589 0.0000
Hg2 0.6411 0.6411 0.0000
O1 0.0000 0.0000 0.0000
```

Computed properties:
* uncorrected energy: -6.40 eV/atom
* crystal system: tetragonal
* magnetization: 0.00 μB/cell
* SG: No. 139



Record 3
A plane-wave DFT calculation with PBE was carried out for a geometry-optimized Dy3NpSe6 structure.

The structure in CIF format:
```
data_Dy3NpSe6
_space_group_name_H-M_alt 'P 1'
_space_group_IT_number 1
_cell_length_a 11.6019
_cell_length_b 4.1082
_cell_length_c 11.8334
_cell_angle_alpha 90.00
_cell_angle_beta 109.03
_cell_angle_gamma 90.00
loop_
_space_group_symop_operation_xyz
'x,y,z'
loop_
_atom_site_label
_atom_site_fract_x
_atom_site_fract_y
_atom_site_fract_z
Dy1 0.0667 0.2500 0.1665
Dy2 0.1807 0.7500 0.5014
Dy3 0.3424 0.2500 0.9178
Dy4 0.6576 0.7500 0.0822
Dy5 0.8193 0.2500 0.4986
Dy6 0.9333 0.7500 0.8335
Np1 0.4535 0.2500 0.3081
Np2 0.5465 0.7500 0.6919
Se1 0.0193 0.2500 0.3846
Se2 0.1045 0.2500 0.9371
Se3 0.2452 0.7500 0.2760
Se4 0.3065 0.7500 0.7499
Se5 0.3858 0.2500 0.5375
Se6 0.4172 0.7500 0.0996
Se7 0.5828 0.2500 0.9004
Se8 0.6142 0.7500 0.4625
Se9 0.6935 0.2500 0.2501
Se10 0.7548 0.2500 0.7240
Se11 0.8955 0.7500 0.0629
Se12 0.9807 0.7500 0.6154
```

Computed properties:
* uncorrected energy: -6.45 eV/atom
* crystal system: monoclinic
* magnetization: 8.01 μB/cell
* SG: No. 11



Record 4
A plane-wave DFT calculation with PBE was carried out for a geometry-optimized PrTmScAl structure.

The structure in CIF format:
```
data_PrTmScAl
_space_group_name_H-M_alt 'P 1'
_space_group_IT_number 1
_cell_length_a 5.2872
_cell_length_b 5.2872
_cell_length_c 5.2872
_cell_angle_alpha 60.00
_cell_angle_beta 60.00
_cell_angle_gamma 60.00
loop_
_space_group_symop_operation_xyz
'x,y,z'
loop_
_atom_site_label
_atom_site_fract_x
_atom_site_fract_y
_atom_site_fract_z
Pr1 0.0000 0.0000 0.0000
Tm1 0.5000 0.5000 0.5000
Sc1 0.7500 0.7500 0.7500
Al1 0.2500 0.2500 0.2500
```

Computed properties:
* crystal system: cubic
* magnetization: 0.87 μB/cell
* DFT formation energy: -0.09 eV/atom
* SG: No. 216



Record 5
A plane-wave DFT calculation with PBE was carried out for a geometry-optimized Cs2ZrSn structure.

The structure in CIF format:
```
data_Cs2ZrSn
_space_group_name_H-M_alt 'P 1'
_space_group_IT_number 1
_cell_length_a 10.5082
_cell_length_b 10.5082
_cell_length_c 10.5082
_cell_angle_alpha 94.18
_cell_angle_beta 94.18
_cell_angle_gamma 148.68
loop_
_space_group_symop_operation_xyz
'x,y,z'
loop_
_atom_site_label
_atom_site_fract_x
_atom_site_fract_y
_atom_site_fract_z
Cs1 0.3750 0.2104 0.3354
Cs2 0.7896 0.1250 0.1646
Cs3 0.8750 0.0396 0.6646
Cs4 0.9604 0.6250 0.8354
Zr1 0.2500 0.7500 0.5000
Zr2 0.5000 0.5000 0.0000
Sn1 0.0000 0.0000 0.0000
Sn2 0.7500 0.2500 0.5000
```

Computed properties:
* crystal system: tetragonal
* magnetization: 3.90 μB/cell
* DFT formation energy: 0.59 eV/atom
* relative energy among the computed polymorphs: 0 meV/atom
* SG: No. 122



Record 6
A plane-wave DFT calculation with PBE was carried out for a geometry-optimized SnAsHOsBr structure.

The structure in CIF format:
```
data_SnAsHOsBr
_space_group_name_H-M_alt 'P 1'
_space_group_IT_number 1
_cell_length_a 4.2334
_cell_length_b 4.2334
_cell_length_c 7.1336
_cell_angle_alpha 107.05
_cell_angle_beta 107.05
_cell_angle_gamma 60.17
loop_
_space_group_symop_operation_xyz
'x,y,z'
loop_
_atom_site_label
_atom_site_fract_x
_atom_site_fract_y
_atom_site_fract_z
Sn1 0.0000 0.0000 0.0000
As1 0.2312 0.2312 0.6921
H1 0.6576 0.6576 0.9746
Os1 0.5781 0.5781 0.7309
Br1 0.4402 0.4402 0.3194
```

Computed properties:
* crystal system: monoclinic
* magnetization: 0.00 μB/cell
* relative energy among the computed polymorphs: 57 meV/atom
* SG: No. 8



Record 7
A plane-wave DFT calculation with PBE was carried out for a geometry-optimized Ac4Sb2PbI structure.

The structure in CIF format:
```
data_Ac4Sb2PbI
_space_group_name_H-M_alt 'P 1'
_space_group_IT_number 1
_cell_length_a 8.3556
_cell_length_b 6.7862
_cell_length_c 8.3560
_cell_angle_alpha 66.04
_cell_angle_beta 47.92
_cell_angle_gamma 66.04
loop_
_space_group_symop_operation_xyz
'x,y,z'
loop_
_atom_site_label
_atom_site_fract_x
_atom_site_fract_y
_atom_site_fract_z
Ac1 0.9996 0.5007 0.0004
Ac2 0.2413 0.7587 0.2413
Ac3 0.5007 0.9996 0.4993
Ac4 0.7587 0.2413 0.7587
Sb1 0.2500 0.2500 0.2500
Sb2 0.7500 0.7500 0.7500
Pb1 0.0008 0.0008 0.9992
I1 0.4994 0.4994 0.5006
```

Computed properties:
* uncorrected energy: -4.78 eV/atom
* crystal system: orthorhombic
* magnetization: 0.00 μB/cell
* SG: No. 42



Record 8
A plane-wave DFT calculation with PBE was carried out for a geometry-optimized Cs3Ru2Br8 structure.

The structure in CIF format:
```
data_Cs3Ru2Br8
_space_group_name_H-M_alt 'P 1'
_space_group_IT_number 1
_cell_length_a 7.9368
_cell_length_b 7.9368
_cell_length_c 10.3299
_cell_angle_alpha 112.53
_cell_angle_beta 112.53
_cell_angle_gamma 59.92
loop_
_space_group_symop_operation_xyz
'x,y,z'
loop_
_atom_site_label
_atom_site_fract_x
_atom_site_fract_y
_atom_site_fract_z
Cs1 0.0000 0.0000 0.0000
Cs2 0.2308 0.2308 0.6924
Cs3 0.7692 0.7692 0.3076
Ru1 0.4570 0.4570 0.3707
Ru2 0.5430 0.5430 0.6293
Br1 0.1885 0.7315 0.6522
Br2 0.2684 0.2684 0.3472
Br3 0.2685 0.8115 0.3478
Br4 0.3587 0.3587 0.0736
Br5 0.6413 0.6413 0.9264
Br6 0.7315 0.1885 0.6522
Br7 0.7316 0.7316 0.6528
Br8 0.8115 0.2685 0.3478
```

Computed properties:
* uncorrected energy: -3.44 eV/atom
* crystal system: monoclinic
* magnetization: 5.01 μB/cell
* SG: No. 12



Record 9
A plane-wave DFT calculation with PBE was carried out for a geometry-optimized ZnAgHRh2 structure.

The structure in CIF format:
```
data_ZnAgHRh2
_space_group_name_H-M_alt 'P 1'
_space_group_IT_number 1
_cell_length_a 3.9136
_cell_length_b 3.9136
_cell_length_c 4.0881
_cell_angle_alpha 90.00
_cell_angle_beta 90.00
_cell_angle_gamma 90.00
loop_
_space_group_symop_operation_xyz
'x,y,z'
loop_
_atom_site_label
_atom_site_fract_x
_atom_site_fract_y
_atom_site_fract_z
Zn1 0.0000 0.0000 0.0000
Ag1 0.5000 0.5000 0.0000
H1 0.0000 0.0000 0.5000
Rh1 0.0000 0.5000 0.5000
Rh2 0.5000 0.0000 0.5000
```

Computed properties:
* crystal system: tetragonal
* magnetization: 0.48 μB/cell
* relative energy among the computed polymorphs: 37 meV/atom
* SG: No. 123



Record 10
A plane-wave DFT calculation with PBE was carried out for a geometry-optimized Sm2ZnCd structure.

The structure in CIF format:
```
data_Sm2ZnCd
_space_group_name_H-M_alt 'P 1'
_space_group_IT_number 1
_cell_length_a 5.2823
_cell_length_b 5.2823
_cell_length_c 5.2823
_cell_angle_alpha 60.00
_cell_angle_beta 60.00
_cell_angle_gamma 60.00
loop_
_space_group_symop_operation_xyz
'x,y,z'
loop_
_atom_site_label
_atom_site_fract_x
_atom_site_fract_y
_atom_site_fract_z
Sm1 0.2500 0.2500 0.2500
Sm2 0.7500 0.7500 0.7500
Zn1 0.0000 0.0000 0.0000
Cd1 0.5000 0.5000 0.5000
```

Computed properties:
* crystal system: cubic
* magnetization: 0.38 μB/cell
* DFT formation energy: -0.30 eV/atom
* relative energy among the computed polymorphs: 24 meV/atom
* SG: No. 225



Record 11
A plane-wave DFT calculation with PBE was carried out for a geometry-optimized AgBAu3 structure.

The structure in CIF format:
```
data_AgBAu3
_space_group_name_H-M_alt 'P 1'
_space_group_IT_number 1
_cell_length_a 5.1261
_cell_length_b 5.1261
_cell_length_c 5.1261
_cell_angle_alpha 90.00
_cell_angle_beta 90.00
_cell_angle_gamma 90.00
loop_
_space_group_symop_operation_xyz
'x,y,z'
loop_
_atom_site_label
_atom_site_fract_x
_atom_site_fract_y
_atom_site_fract_z
Ag1 0.0000 0.0000 0.0000
B1 0.5000 0.5000 0.5000
Au1 0.0000 0.0000 0.5000
Au2 0.0000 0.5000 0.0000
Au3 0.5000 0.0000 0.0000
```

Computed properties:
* crystal system: cubic
* magnetization: 0.00 μB/cell
* DFT formation energy: 1.66 eV/atom
* relative energy among the computed polymorphs: 1416 meV/atom
* SG: No. 221



Record 12
A plane-wave DFT calculation with PBE was carried out for a geometry-optimized Tb4TmS7 structure.

The structure in CIF format:
```
data_Tb4TmS7
_space_group_name_H-M_alt 'P 1'
_space_group_IT_number 1
_cell_length_a 6.7089
_cell_length_b 6.7089
_cell_length_c 11.6202
_cell_angle_alpha 104.15
_cell_angle_beta 104.15
_cell_angle_gamma 33.04
loop_
_space_group_symop_operation_xyz
'x,y,z'
loop_
_atom_site_label
_atom_site_fract_x
_atom_site_fract_y
_atom_site_fract_z
Tb1 0.0000 0.0000 0.0000
Tb2 0.1886 0.1886 0.7668
Tb3 0.5878 0.5878 0.3877
Tb4 0.8879 0.8879 0.5760
Tm1 0.7763 0.7763 0.1554
S1 0.1514 0.1514 0.2241
S2 0.2281 0.2281 0.5256
S3 0.3863 0.3863 0.0794
S4 0.5477 0.5477 0.6284
S5 0.6305 0.6305 0.9323
S6 0.8474 0.8474 0.7924
S7 0.9282 0.9282 0.3592
```

Computed properties:
* uncorrected energy: -6.40 eV/atom
* crystal system: monoclinic
* magnetization: 0.00 μB/cell
* SG: No. 8